Material: KPmIrO6
Method: DFT, PBE-GGA
State: optimized geometry

Results
**Crystal system**: trigonal
**Uncorrected energy**: -57.264 eV per cell

Cell: 5.7484 5.7484 5.7189 Å, 90.00 90.00 120.00°
Space group P312 (No. 149)
Unique sites:
K: 0.0000 0.0000 0.0000 (multiplicity 1)
Pm: 0.3333 0.6667 0.5000 (multiplicity 1)
Ir: 0.6667 0.3333 0.5000 (multiplicity 1)
O: 0.4047 0.0545 0.6900 (multiplicity 6)